## w
The following is a PBE calculation of crystalline AcLa2Pr7 at its relaxed geometry, from the Alexandria database.

Structure (POSCAR):
```
AcLa2Pr7
1.0
-1.160 6.378 0.453
-1.464 2.622 -9.449
-5.723 -0.156 3.052
Ac La Pr
1 2 7
Cartesian
0.000 0.000 0.000
-4.524 2.763 -3.724
-3.823 6.081 -2.220
-3.219 7.539 -5.574
-5.127 1.305 -0.370
-6.433 5.806 -4.829
-1.913 3.038 -1.115
-3.949 4.239 -7.137
-4.397 4.605 1.193
-1.312 4.500 -4.498
```

Calculated values
Density of states at the Fermi level (states/eV/f.u.): 19.00
Calculated volume (Å³/atom): 37.270


## x
The following is a PBE calculation of crystalline AcLa2Pr7 at its relaxed geometry, from the Alexandria database.

Structure (POSCAR):
```
AcLa2Pr7
1.0
-5.057 1.943 1.701
0.411 -5.662 7.689
3.361 8.945 -0.224
Ac La Pr
1 2 7
Cartesian
0.000 0.000 0.000
-1.233 -0.314 6.168
-0.052 5.539 2.998
1.097 -2.268 5.850
2.675 5.550 1.615
-1.493 3.280 1.293
0.208 1.945 7.873
-2.182 -0.135 3.143
0.897 5.360 6.023
-0.643 2.613 4.583
```

Calculated values
Density of states at the Fermi level (states/eV/f.u.): 14.63
Calculated volume (Å³/atom): 43.043


Which one sits at the bottom of the stability order? x does.


## w
The following is a PBE calculation of crystalline AcLa12Pr6 at its relaxed geometry, from the Alexandria database.

Structure (POSCAR):
```
AcLa12Pr6
1.0
-9.042 -0.984 0.740
1.444 -3.857 -8.143
2.869 -6.659 5.541
Ac La Pr
1 12 6
Cartesian
0.000 0.000 0.000
-5.041 -5.016 1.336
-2.067 -3.024 1.555
-2.455 -2.262 -2.166
-5.512 -7.694 -1.002
-2.274 -9.237 0.304
-2.661 -8.476 -3.417
-2.728 -5.034 -4.424
0.676 -7.198 0.294
0.312 -6.483 -3.199
-2.000 -6.465 2.562
-5.405 -4.301 -2.157
0.784 -3.805 -0.861
-5.078 -8.206 2.897
-5.879 -6.631 -4.795
0.817 -9.821 -2.096
1.150 -4.868 2.932
0.349 -3.293 -4.760
-5.545 -1.678 0.234
```

Calculated values
Density of states at the Fermi level (states/eV/f.u.): 38.29
Calculated volume (Å³/atom): 37.655


## x
The following is a PBE calculation of crystalline AcLa12Pr6 at its relaxed geometry, from the Alexandria database.

Structure (POSCAR):
```
AcLa12Pr6
1.0
-2.375 5.282 -7.190
-3.186 -8.264 -2.605
-6.241 2.513 6.322
Ac La Pr
1 12 6
Cartesian
0.000 0.000 0.000
-5.585 5.044 -3.523
-7.296 1.158 -3.895
-8.337 0.412 -0.257
-4.287 2.021 -0.813
-3.464 -0.881 -3.216
-4.505 -1.627 0.422
-7.407 -1.313 3.529
-4.710 -4.434 -5.215
-6.217 -5.513 0.050
-4.394 0.844 -7.002
-7.091 3.965 1.742
-7.514 -2.490 -2.660
-3.979 2.511 -4.394
-5.899 1.137 2.315
-4.382 -4.215 -2.117
-5.903 -1.606 -5.788
-7.822 -2.980 0.921
-7.420 3.746 -1.356
```

Calculated values
Density of states at the Fermi level (states/eV/f.u.): 31.29
Calculated volume (Å³/atom): 38.375


Which one sits at the bottom of the stability order? x does.


## w
The following is a PBE calculation of crystalline Ac2LaPr2 at its relaxed geometry, from the Alexandria database.

Structure (POSCAR):
```
Ac2LaPr2
1.0
9.008 0.000 0.000
0.000 9.008 0.000
0.000 0.000 4.994
Ac La Pr
4 2 4
Cartesian
3.024 7.528 2.497
7.528 5.983 2.497
5.983 1.480 2.497
1.480 3.024 2.497
0.000 0.000 0.000
4.504 4.504 0.000
1.235 5.738 0.000
5.738 7.773 0.000
7.773 3.269 0.000
3.269 1.235 0.000
```

Calculated values
Density of states at the Fermi level (states/eV/f.u.): 7.85
Calculated volume (Å³/atom): 40.517


## x
The following is a PBE calculation of crystalline Ac2LaPr2 at its relaxed geometry, from the Alexandria database.

Structure (POSCAR):
```
Ac2LaPr2
1.0
-0.347 -0.627 3.434
3.866 -10.266 -1.484
10.314 3.638 1.705
Ac La Pr
4 2 4
Cartesian
3.413 -6.219 1.001
9.602 -7.139 1.458
10.421 -1.036 2.654
4.232 -0.116 2.198
7.090 -3.314 0.111
0.000 0.000 0.000
10.923 -4.291 2.111
6.317 -7.576 1.046
7.516 0.322 2.609
2.911 -2.963 1.545
```

Calculated values
Density of states at the Fermi level (states/eV/f.u.): 10.83
Calculated volume (Å³/atom): 42.984


Which one sits at the bottom of the stability order? x does.


## w
The following is a PBE calculation of crystalline AcLaPrTh at its relaxed geometry, from the Alexandria database.

Structure (POSCAR):
```
AcLaPrTh
1.0
-1.080 3.547 0.091
-0.377 -0.021 -3.690
-10.292 -3.162 1.068
Ac La Pr Th
1 1 1 1
Cartesian
-0.716 -0.220 0.074
-4.297 0.667 -1.429
-8.937 -0.759 -0.948
-5.877 -1.806 0.610
```

Calculated values
Density of states at the Fermi level (states/eV/f.u.): 5.10
Calculated volume (Å³/atom): 37.215


## x
The following is a PBE calculation of crystalline AcLaPrTh at its relaxed geometry, from the Alexandria database.

Structure (POSCAR):
```
AcLaPrTh
1.0
5.954 0.000 0.000
2.977 5.157 0.000
2.977 1.719 4.862
Pr Ac Th La
1 1 1 1
Cartesian
2.977 1.719 1.215
5.954 3.438 2.431
0.000 0.000 0.000
8.932 5.157 3.646
```

Calculated values
Density of states at the Fermi level (states/eV/f.u.): 11.95
Calculated volume (Å³/atom): 37.321


Which one sits at the bottom of the stability order? x does.


## w
The following is a PBE calculation of crystalline AcLaPrTm at its relaxed geometry, from the Alexandria database.

Structure (POSCAR):
```
AcLaPrTm
1.0
-5.388 -0.461 2.513
-3.351 -4.830 -0.997
-0.921 -3.945 4.375
Pr Ac Tm La
1 1 1 1
Cartesian
-7.245 -6.927 4.419
-4.830 -4.618 2.946
0.000 0.000 0.000
-2.415 -2.309 1.473
```

Calculated values
Density of states at the Fermi level (states/eV/f.u.): 11.20
Calculated volume (Å³/atom): 37.478


## x
The following is a PBE calculation of crystalline AcLaPrTm at its relaxed geometry, from the Alexandria database.

Structure (POSCAR):
```
AcLaPrTm
1.0
-1.023 -2.316 -2.788
3.218 -0.600 1.861
-5.879 -6.945 7.924
Ac La Pr Tm
1 1 1 1
Cartesian
-3.593 -7.547 7.586
-2.538 -2.998 3.421
-0.666 -2.993 0.187
-3.547 -6.395 4.070
```

Calculated values
Density of states at the Fermi level (states/eV/f.u.): 5.43
Calculated volume (Å³/atom): 37.043


Which one sits at the bottom of the stability order? w does.


## w
The following is a PBE calculation of crystalline AcLa2Pt2 at its relaxed geometry, from the Alexandria database.

Structure (POSCAR):
```
AcLa2Pt2
1.0
-0.846 1.549 3.762
-7.359 -3.688 -0.137
3.287 -6.690 3.494
Ac La Pt
2 4 4
Cartesian
0.000 0.000 0.000
-2.036 -5.189 1.678
0.578 -4.209 4.158
-2.496 -7.286 4.733
-5.496 -4.620 2.961
-2.422 -1.543 2.386
0.155 -7.138 2.974
-4.284 -7.437 2.098
-4.227 -3.240 0.383
0.212 -2.941 1.259
```

Calculated values
Density of states at the Fermi level (states/eV/f.u.): 3.91
Calculated volume (Å³/atom): 28.162


## x
The following is a PBE calculation of crystalline AcLa2Pt2 at its relaxed geometry, from the Alexandria database.

Structure (POSCAR):
```
AcLa2Pt2
1.0
4.207 0.000 -1.132
-0.660 5.385 -2.453
-0.242 0.088 7.485
Ac La Pt
1 2 2
Cartesian
0.000 0.000 0.000
2.330 3.702 0.274
0.976 1.771 3.626
0.693 4.549 2.575
2.612 0.924 1.325
```

Calculated values
Density of states at the Fermi level (states/eV/f.u.): 3.39
Calculated volume (Å³/atom): 33.815


Which one sits at the bottom of the stability order? w does.